Record 1
Below is Ba3Pd2I after structural relaxation, with properties calculated at the GGA-PBE level.

```
data_Ba3Pd2I
_space_group_name_H-M_alt 'C m c m'
_space_group_IT_number 63
_space_group_name_Hall '-C 2c 2'
_cell_length_a 5.1686
_cell_length_b 17.2443
_cell_length_c 11.0474
_cell_angle_alpha 90.00
_cell_angle_beta 90.00
_cell_angle_gamma 90.00
loop_
_atom_site_label
_atom_site_fract_x
_atom_site_fract_y
_atom_site_fract_z
Ba1 0.0000 0.0990 0.2500
Ba2 0.0000 0.3890 0.0539
Pd1 0.0000 0.0000 0.0000
Pd2 0.0000 0.4851 0.7500
I1 0.0000 0.2312 0.7500
```

Computed properties:
uncorrected formation energy = -0.657 eV/atom

=====

Record 2
Below is La3Pr2PuSe6 after structural relaxation, with properties calculated at the GGA-PBE level.

```
data_La3Pr2PuSe6
_space_group_name_H-M_alt 'C 1 2/m 1'
_space_group_IT_number 12
_cell_length_a 18.6128
_cell_length_b 4.2587
_cell_length_c 8.5682
_cell_angle_alpha 90.00
_cell_angle_beta 103.29
_cell_angle_gamma 90.00
loop_
_space_group_symop_operation_xyz
'x,y,z'
'-x,-y,-z'
'-x,y,-z'
'x,-y,z'
'x+1/2,y+1/2,z'
'-x+1/2,-y+1/2,-z'
'-x+1/2,y+1/2,-z'
'x+1/2,-y+1/2,z'
loop_
_atom_site_label
_atom_site_fract_x
_atom_site_fract_y
_atom_site_fract_z
La1 0.0000 0.0000 0.0000
La2 0.1677 0.5000 0.3347
Pr1 0.1655 0.5000 0.8313
Pu1 0.0000 0.0000 0.5000
Se1 0.0004 0.5000 0.2583
Se2 0.1634 0.0000 0.5828
Se3 0.1674 0.0000 0.0821
```

Computed properties:
uncorrected formation energy = -1.880 eV/atom

=====

Record 3
Below is KCdIn after structural relaxation, with properties calculated at the GGA-PBE level.

```
data_KCdIn
_space_group_name_H-M_alt 'P 1 21/m 1'
_space_group_IT_number 11
_cell_length_a 5.9123
_cell_length_b 5.1950
_cell_length_c 6.8752
_cell_angle_alpha 90.00
_cell_angle_beta 111.34
_cell_angle_gamma 90.00
loop_
_space_group_symop_operation_xyz
'x,y,z'
'-x,-y,-z'
'-x,y+1/2,-z'
'x,-y+1/2,z'
loop_
_atom_site_label
_atom_site_fract_x
_atom_site_fract_y
_atom_site_fract_z
K1 0.2284 0.2500 0.0179
Cd1 0.4405 0.2500 0.5910
In1 0.1499 0.7500 0.6003
```

Computed properties:
polymorph energy (0 for the lowest one) = 0.14 eV/f.u.
ΔH_f (0 K) = -0.079 eV/atom

=====

Record 4
Below is NdHoCu2 after structural relaxation, with properties calculated at the GGA-PBE level.

```
data_NdHoCu2
_space_group_name_H-M_alt 'F m -3 m'
_space_group_IT_number 225
_space_group_name_Hall '-F 4 2 3'
_cell_length_a 7.0518
_cell_length_b 7.0518
_cell_length_c 7.0518
_cell_angle_alpha 90.00
_cell_angle_beta 90.00
_cell_angle_gamma 90.00
loop_
_atom_site_label
_atom_site_fract_x
_atom_site_fract_y
_atom_site_fract_z
Nd1 0.0000 0.0000 0.0000
Ho1 0.0000 0.0000 0.5000
Cu1 0.2500 0.2500 0.2500
```

Computed properties:
polymorph energy (0 for the lowest one) = 0.10 eV/f.u.
ΔH_f (0 K) = -0.188 eV/atom

=====

no.,uncorrected energy (eV per formula unit),M_tot (μB/f.u.)
1,-21.6,0.00
2,-82.1,5.99
3,-5.0,0.00
4,-18.3,0.00